(1)
VASP calculation (GGA-PBE) on an optimized crystal structure of MnBeNi.

Results
E above lowest polymorph = 91 meV per atom
Spin magnetization = 3.26 μB per cell
Energy relative to the elements = -0.091 eV/atom
DOS(E_F) = 0.5194 states/eV/atom

Cell: 3.824 3.824 2.528 Å, 90.00 90.00 120.00°
Sites, in units of the cell vectors:
1 Mn 0.000 0.000 0.000
2 Be 0.333 0.667 0.501
3 Ni 0.667 0.333 0.499

=====

(2)
VASP calculation (GGA-PBE) on an optimized crystal structure of MnBeNi.

Results
E above lowest polymorph = 43 meV per atom
Spin magnetization = 0.14 μB per cell
Energy relative to the elements = -0.138 eV/atom
DOS(E_F) = 0.6584 states/eV/atom

Cell: 4.508 4.508 4.756 Å, 120.31 120.31 49.38°
Sites, in units of the cell vectors:
1 Mn 0.000 0.000 0.000
2 Mn 0.682 0.682 0.336
3 Be 0.014 0.014 0.503
4 Be 0.326 0.326 0.684
5 Ni 0.345 0.345 0.192
6 Ni 0.641 0.641 0.799

=====

(3)
VASP calculation (GGA-PBE) on an optimized crystal structure of MnBe3Ni4.

Results
Spin magnetization = 4.39 μB per cell
Energy relative to the elements = -0.303 eV/atom
DOS(E_F) = 0.4668 states/eV/atom

Cell: 6.628 6.628 6.628 Å, 33.42 33.42 33.42°
Sites, in units of the cell vectors:
1 Mn 0.000 0.000 0.000
2 Be 0.252 0.252 0.252
3 Be 0.500 0.500 0.500
4 Be 0.748 0.748 0.748
5 Ni 0.129 0.129 0.129
6 Ni 0.383 0.383 0.383
7 Ni 0.617 0.617 0.617
8 Ni 0.871 0.871 0.871

=====

(4)
VASP calculation (GGA-PBE) on an optimized crystal structure of Mn2BeNi.

Results
Spin magnetization = 0.20 μB per cell
Energy relative to the elements = -0.023 eV/atom
DOS(E_F) = 0.7120 states/eV/atom

Cell: 7.882 7.882 7.882 Å, 18.00 18.00 18.00°
Sites, in units of the cell vectors:
1 Mn 0.000 0.000 0.000
2 Mn 0.251 0.251 0.251
3 Be 0.501 0.501 0.501
4 Ni 0.757 0.757 0.757

=====

(5)
VASP calculation (GGA-PBE) on an optimized crystal structure of MnBeNi.

Results
E above lowest polymorph = 724 meV per atom
Spin magnetization = 3.23 μB per cell
Energy relative to the elements = 0.543 eV/atom
DOS(E_F) = 0.8147 states/eV/atom

Cell: 3.790 3.790 3.790 Å, 60.00 60.00 60.00°
Sites, in units of the cell vectors:
1 Mn 0.000 0.000 0.000
2 Be 0.250 0.250 0.250
3 Ni 0.750 0.750 0.750

=====

(6)
VASP calculation (GGA-PBE) on an optimized crystal structure of MnBeNi.

Results
E above lowest polymorph = 30 meV per atom
Spin magnetization = 0.13 μB per cell
Energy relative to the elements = -0.152 eV/atom
DOS(E_F) = 0.5770 states/eV/atom

Cell: 4.388 4.388 4.752 Å, 115.75 115.75 49.60°
Sites, in units of the cell vectors:
1 Mn 0.000 0.000 0.000
2 Mn 0.651 0.651 0.857
3 Be 0.339 0.339 0.171
4 Be 0.651 0.651 0.365
5 Ni 0.300 0.300 0.643
6 Ni 0.952 0.952 0.456

=====

What is the formula in the first record?
MnBeNi

=====

spin magnetization of number 1 (MnBeNi)?
3.26 μB per cell

=====

The lowest DOS(E_F) belongs to which entry?
MnBe3Ni4